Ba2LiH6Au2 GGA-PBE optimized geometry; final energy = -36.35 eV for the cell shown
1.0
5.3543 0.0000 0.0000
-2.6771 5.3948 -0.2145
0.0000 -3.3529 6.2328
Ba Li H Au
2 1 6 2
Cartesian
2.6771 1.5316 1.2513 Ba
0.0000 0.5103 4.7670 Ba
2.6771 -1.6765 3.1164 Li
2.6771 0.7942 3.8479 H
-1.0333 4.3870 1.2123 H
1.6439 -2.3451 4.8061 H
3.7104 -2.3451 4.8061 H
1.0333 4.3870 1.2123 H
0.0000 1.2477 2.1704 H
2.6771 2.6413 4.5714 Au
0.0000 -0.5994 1.4469 Au



RbYBr2 GGA-PBE optimized geometry; final energy = -15.49 eV for the cell shown; ΔE_f (raw) = -113.67 kJ per mole of atoms
1.0
2.4628 0.0000 10.0354
-1.2314 2.1328 10.0354
-1.2314 -2.1328 10.0354
Y Br Rb
1 2 1
Cartesian
0.0000 0.0000 0.0000 Y
0.0000 0.0000 27.3374 Br
0.0000 0.0000 2.7688 Br
0.0000 0.0000 15.0531 Rb



Nd3PbAu GGA-PBE optimized geometry; final energy = -46.31 eV for the cell shown; formation energy from the elements = -0.374 eV/atom
1.0
-1.4319 -1.8762 -3.7734
2.0145 -8.1714 3.2985
-6.9126 -3.7388 4.4821
Nd Pb Au
6 2 2
Cartesian
-6.1308 -7.8272 1.6847 Nd
-5.8784 -4.1661 -0.2314 Nd
-0.3820 -6.8868 -0.9598 Nd
-1.0798 -1.3631 -0.8206 Nd
-2.6988 -9.5345 1.2358 Nd
-2.5880 -5.0217 1.5708 Nd
-4.2808 -9.1434 4.2642 Pb
-2.5496 -4.1298 -1.5122 Pb
-0.8218 -7.2741 2.0252 Au
-5.2911 -5.0579 2.6138 Au